#one
Compound: TlTc2Os
Source: Alexandria
Functional: GGA-PBE
Structure: relaxed

Symmetry = No. 47
Size of the total moment = 0.0 μB per formula unit

extended XYZ file:
```
4
Lattice="-1.1166 2.2934 -1.2603 0.7939 -1.5386 -3.5032 -5.3893 -2.6545 -0.0556" Properties=species:S:1:pos:R:3 pbc="T T T"
Tl -1.5087 -0.2862 -2.3956
Tc -2.9283 -1.4423 -0.0302
Tc -5.1556 -2.5394 -0.0532
Os -4.2033 -1.6135 -2.4234
```

***

#two
Compound: TlTc2Os
Source: Alexandria
Functional: GGA-PBE
Structure: relaxed

Symmetry = No. 12
Size of the total moment = 0.0 μB per formula unit

extended XYZ file:
```
4
Lattice="-4.6739 1.0732 0.9675 -4.2930 -1.7513 1.5608 0.2889 1.0562 4.8425" Properties=species:S:1:pos:R:3 pbc="T T T"
Tc -4.4807 0.1362 3.5248
Tl -6.5085 0.2836 5.5281
Os -2.1695 0.0945 1.8427
Tc -8.8252 -0.6252 2.6889
```

***

Ordering by calculated energy gives the sequence #one, #two, with the first entry being the most stable.

***

#one
Compound: TlTcOs2
Source: Alexandria
Functional: GGA-PBE
Structure: relaxed

Symmetry = No. 47
Size of the total moment = 0.0 μB per formula unit

extended XYZ file:
```
4
Lattice="-2.6736 2.7161 -0.5478 -0.9727 -1.4123 -2.2555 -2.8492 -1.6313 5.8180" Properties=species:S:1:pos:R:3 pbc="T T T"
Os -2.2598 -2.1179 0.5279
Tc -2.2923 0.5972 0.6167
Tl -4.2032 -0.9247 2.3980
Os -0.6239 -0.8162 -1.0022
```

***

#two
Compound: TlTcOs2
Source: Alexandria
Functional: GGA-PBE
Structure: relaxed

Symmetry = No. 225
Size of the total moment = 2.1 μB per formula unit

extended XYZ file:
```
4
Lattice="0.0000 3.2045 3.2045 3.2045 0.0000 3.2045 3.2045 3.2045 0.0000" Properties=species:S:1:pos:R:3 pbc="T T T"
Os 4.8067 4.8067 4.8067
Tl 3.2045 3.2045 3.2045
Tc 0.0000 0.0000 0.0000
Os 1.6022 1.6022 1.6022
```

***

#three
Compound: TlTcOs2
Source: Alexandria
Functional: GGA-PBE
Structure: relaxed

Symmetry = No. 44
Size of the total moment = 0.0 μB per formula unit

extended XYZ file:
```
4
Lattice="-5.7520 -2.6503 -0.8006 -1.8827 -5.3178 -2.9878 3.2755 3.3379 4.3451" Properties=species:S:1:pos:R:3 pbc="T T T"
Tc -4.1231 -4.3031 -2.0459
Os -7.3970 -7.7199 -3.6704
Tl -0.8505 -2.6044 -0.0890
Os -3.4407 -1.9548 0.6794
```

***

#four
Compound: TlTcOs2
Source: Alexandria
Functional: GGA-PBE
Structure: relaxed

Symmetry = No. 25
Size of the total moment = 0.0 μB per formula unit

extended XYZ file:
```
4
Lattice="3.7764 0.0000 0.0000 0.0000 2.8097 0.1008 0.0000 2.5787 6.4018" Properties=species:S:1:pos:R:3 pbc="T T T"
Tl 1.8882 4.0421 4.8739
Os 0.0000 2.7974 0.3838
Tc 0.0000 2.7053 2.9974
Os 1.8882 1.3473 1.5997
```

***

Ordering by calculated energy gives the sequence #four, #one, #three, #two, with the first entry being the most stable.

***

#one
Compound: TlTcOs
Source: Alexandria
Functional: GGA-PBE
Structure: relaxed

Symmetry = No. 156
Size of the total moment = 0.0 μB per formula unit

extended XYZ file:
```
3
Lattice="-0.1641 -2.5160 1.4432 1.5750 0.1780 -2.4347 5.7113 1.8233 3.8280" Properties=species:S:1:pos:R:3 pbc="T T T"
Tc 2.1648 -1.0596 1.3230
Tl 4.7925 0.4922 1.4030
Os 0.1649 0.0526 0.1105
```

***

#two
Compound: TlTcOs
Source: Alexandria
Functional: GGA-PBE
Structure: relaxed

Symmetry = No. 216
Size of the total moment = 0.0 μB per formula unit

extended XYZ file:
```
3
Lattice="-3.1692 1.2648 -2.7261 -2.7425 -2.9543 -1.6811 -4.1681 -0.0994 1.3009" Properties=species:S:1:pos:R:3 pbc="T T T"
Os -7.5598 -1.3417 -2.3298
Tl -5.0399 -0.8944 -1.5532
Tc 0.0000 0.0000 0.0000
```

***

Ordering by calculated energy gives the sequence #one, #two, with the first entry being the most stable.

***

#one
Compound: TlTcOs
Source: Alexandria
Functional: GGA-PBE
Structure: relaxed

Symmetry = No. 107
Size of the total moment = 0.0 μB per formula unit

extended XYZ file:
```
3
Lattice="6.3912 0.0044 -0.0046 5.7194 2.8522 -0.0059 0.6718 0.1596 2.8434" Properties=species:S:1:pos:R:3 pbc="T T T"
Os 0.8915 0.2114 2.7885
Tl 4.4799 1.0574 1.8933
Tc 8.0827 1.9069 0.9944
```

***

#two
Compound: TlTcOs
Source: Alexandria
Functional: GGA-PBE
Structure: relaxed

Symmetry = No. 187
Size of the total moment = 0.0 μB per formula unit

extended XYZ file:
```
3
Lattice="-2.7585 1.0892 -3.4587 -1.3735 -2.9848 3.1564 -1.0907 2.1318 1.5413" Properties=species:S:1:pos:R:3 pbc="T T T"
Os -0.9090 1.7765 1.2844
Tl -3.2060 1.5082 0.0311
Tc -2.1985 -0.9167 1.4648
```

***

Ordering by calculated energy gives the sequence #one, #two, with the first entry being the most stable.